1.
The following is a PBEsol calculation of a relaxed structure of Ti2SiHgO, from Alexandria via LeMat-Bulk.

- Uncorrected energy: -0.2355 hartree per atom
- Formation energy (no corrections): -767 meV per atom
- Mass density: 7.8 Mg/m³
- Magnetic moment: 0.0 μB/cell
- N(E_F): 3.86 states/eV per cell

abc: 4.057 4.057 4.379
angles: 90.00 90.00 90.00
Positions (direct):
Ti (0.000, 0.500, 0.000)
Ti (0.500, 0.000, 0.000)
Si (0.000, 0.000, 0.500)
Hg (0.500, 0.500, 0.500)
O (0.000, 0.000, 0.000)

2.
The following is a PBEsol calculation of a relaxed structure of CoIr2Se, from Alexandria via LeMat-Bulk.

- Uncorrected energy: -0.2759 hartree per atom
- Formation energy (no corrections): 301 meV per atom
- Mass density: 15.8 Mg/m³
- Magnetic moment: 0.9 μB/cell
- N(E_F): 4.54 states/eV per cell

abc: 2.775 2.775 7.132
angles: 90.00 90.00 90.00
Positions (direct):
Co (0.000, 0.000, 0.000)
Ir (0.000, 0.000, 0.497)
Ir (0.500, 0.500, 0.242)
Se (0.500, 0.500, 0.783)

3.
The following is a PBEsol calculation of a relaxed structure of Si3TcGe, from Alexandria via LeMat-Bulk.

- Uncorrected energy: -0.1887 hartree per atom
- Formation energy (no corrections): 1553 meV per atom
- Mass density: 4.4 Mg/m³
- Magnetic moment: 2.7 μB/cell
- N(E_F): 4.76 states/eV per cell

abc: 4.589 4.589 4.589
angles: 90.00 90.00 90.00
Positions (direct):
Si (0.000, 0.000, 0.500)
Si (0.000, 0.500, 0.000)
Si (0.500, 0.000, 0.000)
Tc (0.500, 0.500, 0.500)
Ge (0.000, 0.000, 0.000)

4.
The following is a PBEsol calculation of a relaxed structure of AcAl3, from Alexandria via LeMat-Bulk.

- Uncorrected energy: -0.1673 hartree per atom
- Formation enthalpy at 0 K: -0.357 eV per atom
- Mass density: 5.4 Mg/m³
- Magnetic moment: 0.0 μB/cell
- N(E_F): 2.80 states/eV per cell

abc: 6.850 6.850 4.663
angles: 90.00 90.00 120.00
Positions (direct):
Ac (0.333, 0.667, 0.250)
Ac (0.667, 0.333, 0.750)
Al (0.133, 0.266, 0.750)
Al (0.133, 0.867, 0.750)
Al (0.266, 0.133, 0.250)
Al (0.734, 0.867, 0.750)
Al (0.867, 0.133, 0.250)
Al (0.867, 0.734, 0.250)

5.
The following is a PBEsol calculation of a relaxed structure of CaCdPb, from Alexandria via LeMat-Bulk.

- Uncorrected energy: -0.1054 hartree per atom
- Formation enthalpy at 0 K: -0.426 eV per atom
- Mass density: 7.4 Mg/m³
- Magnetic moment: 0.0 μB/cell
- N(E_F): 1.84 states/eV per cell

abc: 7.682 7.682 4.715
angles: 90.00 90.00 120.00
Positions (direct):
Ca (0.000, 0.571, 0.000)
Ca (0.429, 0.429, 0.000)
Ca (0.571, 0.000, 0.000)
Cd (0.000, 0.248, 0.500)
Cd (0.248, 0.000, 0.500)
Cd (0.752, 0.752, 0.500)
Pb (0.000, 0.000, 0.000)
Pb (0.333, 0.667, 0.500)
Pb (0.667, 0.333, 0.500)

6.
The following is a PBEsol calculation of a relaxed structure of ZrIr2Os, from Alexandria via LeMat-Bulk.

- Uncorrected energy: -0.3775 hartree per atom
- Formation enthalpy at 0 K: -0.034 eV per atom
- Mass density: 18.1 Mg/m³
- Energy above the lowest structure with this stoichiometry: 468.4 meV/atom
- Magnetic moment: 0.0 μB/cell
- N(E_F): 3.51 states/eV per cell

abc: 9.383 9.383 9.383
angles: 16.94 16.94 16.94
Positions (direct):
Zr (0.000, 0.000, 0.000)
Ir (0.245, 0.245, 0.245)
Ir (0.755, 0.755, 0.755)
Os (0.500, 0.500, 0.500)